Record 1
This record from Alexandria via LeMat-Bulk describes an optimized crystal structure of Sr3Tb3DyTe8. The functional is GGA-PBE.

a = 8.900 Å, b = 8.900 Å, c = 9.203 Å
α = 118.92°, β = 90.00°, γ = 120.00°
Positions (direct):
Te: 0.755 0.509 0.269
Te: 0.245 0.491 0.731
Te: 0.744 0.488 0.732
Sr: 0.500 0.500 0.000
Sr: 0.000 0.000 0.000
Te: 0.256 0.512 0.268
Sr: 0.000 0.500 0.000
Tb: 0.500 0.500 0.500
Te: 0.245 0.986 0.731
Tb: 0.000 0.500 0.500
Tb: 0.500 0.000 0.500
Te: 0.259 0.014 0.269
Te: 0.741 0.986 0.731
Te: 0.755 0.014 0.269
Dy: 0.000 0.000 0.500

Summary:
formation energy without anion corrections = -1.522 eV/atom

Record 2
This record from Alexandria via LeMat-Bulk describes an optimized crystal structure of SrTb3Dy2Te6. The functional is GGA-PBE.

a = 4.420 Å, b = 8.860 Å, c = 9.883 Å
α = 103.39°, β = 102.92°, γ = 90.00°
Positions (direct):
Te: 0.335 0.420 0.670
Tb: 0.162 0.818 0.325
Te: 0.328 0.915 0.655
Tb: 0.500 0.500 0.000
Te: 0.672 0.085 0.345
Dy: 0.829 0.656 0.658
Te: 0.004 0.261 0.008
Tb: 0.838 0.182 0.675
Sr: 0.500 0.000 0.000
Dy: 0.171 0.344 0.342
Te: 0.665 0.580 0.330
Te: 0.996 0.739 0.992

Summary:
formation energy without anion corrections = -1.353 eV/atom

Record 3
This record from Alexandria via LeMat-Bulk describes an optimized crystal structure of Sr4Tb3DyTe8. The functional is GGA-PBE.

a = 8.983 Å, b = 9.161 Å, c = 8.983 Å
α = 119.37°, β = 120.00°, γ = 90.00°
Positions (direct):
Sr: 0.000 0.000 0.000
Tb: 0.500 0.500 0.000
Sr: 0.000 0.000 0.500
Te: 0.255 0.269 0.012
Te: 0.756 0.268 0.512
Te: 0.256 0.268 0.512
Te: 0.244 0.732 0.488
Tb: 0.000 0.500 0.500
Dy: 0.000 0.500 0.000
Sr: 0.500 0.000 0.500
Te: 0.745 0.731 0.988
Te: 0.744 0.732 0.488
Te: 0.757 0.269 0.012
Sr: 0.500 0.000 0.000
Te: 0.243 0.731 0.988
Tb: 0.500 0.500 0.500

Summary:
formation energy without anion corrections = -1.501 eV/atom

Record 4
This record from Alexandria via LeMat-Bulk describes an optimized crystal structure of SrDy2Tc. The functional is GGA-PBE.

a = 3.616 Å, b = 3.616 Å, c = 11.229 Å
α = 80.73°, β = 80.73°, γ = 60.00°
Positions (direct):
Dy: 0.891 0.891 0.327
Dy: 0.109 0.109 0.673
Tc: 0.500 0.500 0.500
Sr: 0.000 0.000 0.000

Summary:
formation enthalpy at 0 K = 0.310 eV/atom
offset from the most stable computed form = 1.05 eV per formula unit

Record 5
This record from Alexandria via LeMat-Bulk describes an optimized crystal structure of SrDy2Tc. The functional is GGA-PBE.

a = 3.523 Å, b = 3.523 Å, c = 9.679 Å
α = 90.00°, β = 90.00°, γ = 90.00°
Positions (direct):
Dy: 0.000 0.000 0.166
Tc: 0.500 0.500 0.000
Sr: 0.500 0.500 0.500
Dy: 0.000 0.000 0.834

Summary:
formation enthalpy at 0 K = 0.047 eV/atom
offset from the most stable computed form = 0.00 eV per formula unit

Record 6
This record from Alexandria via LeMat-Bulk describes an optimized crystal structure of Sr2DyTe3. The functional is GGA-PBE.

a = 4.566 Å, b = 6.503 Å, c = 7.977 Å
α = 114.06°, β = 106.63°, γ = 90.00°
Positions (direct):
Sr: 0.170 0.170 0.841
Sr: 0.830 0.830 0.159
Te: 0.155 0.655 0.809
Te: 0.500 0.000 0.500
Dy: 0.500 0.500 0.500
Te: 0.845 0.345 0.191

Summary:
formation energy without anion corrections = -1.548 eV/atom
offset from the most stable computed form = 0.07 eV per formula unit

Record 7
This record from Alexandria via LeMat-Bulk describes an optimized crystal structure of SrDyTe2. The functional is GGA-PBE.

a = 4.406 Å, b = 4.406 Å, c = 8.301 Å
α = 74.61°, β = 74.61°, γ = 60.00°
Positions (direct):
Te: 0.258 0.258 0.226
Te: 0.076 0.076 0.772
Dy: 0.669 0.669 0.992
Sr: 0.497 0.497 0.510

Summary:
formation energy without anion corrections = -1.439 eV/atom
offset from the most stable computed form = 0.20 eV per formula unit

Record 8
This record from Alexandria via LeMat-Bulk describes an optimized crystal structure of SrDyTe2. The functional is GGA-PBE.

a = 4.483 Å, b = 4.483 Å, c = 7.974 Å
α = 73.67°, β = 73.67°, γ = 60.00°
Positions (direct):
Te: 0.256 0.256 0.231
Te: 0.744 0.744 0.769
Sr: 0.500 0.500 0.500
Dy: 0.000 0.000 0.000

Summary:
formation energy without anion corrections = -1.489 eV/atom
offset from the most stable computed form = 0.00 eV per formula unit

Record 9
This record from Alexandria via LeMat-Bulk describes an optimized crystal structure of Sr2Dy3Te6. The functional is GGA-PBE.

a = 7.665 Å, b = 7.666 Å, c = 8.072 Å
α = 80.85°, β = 71.46°, γ = 60.00°
Positions (direct):
Te: 0.739 0.000 0.771
Dy: 0.332 0.337 0.000
Te: 0.261 0.000 0.229
Te: 0.589 0.329 0.231
Sr: 0.166 0.668 0.500
Te: 0.082 0.329 0.769
Sr: 0.834 0.332 0.500
Te: 0.918 0.671 0.231
Dy: 0.000 0.000 0.000
Te: 0.411 0.671 0.769
Dy: 0.668 0.663 0.000

Summary:
formation energy without anion corrections = -1.520 eV/atom

Record 10
This record from Alexandria via LeMat-Bulk describes an optimized crystal structure of SrDy2Te4. The functional is GGA-PBE.

a = 4.423 Å, b = 13.711 Å, c = 16.060 Å
α = 90.00°, β = 90.00°, γ = 90.00°
Positions (direct):
Te: 0.750 0.371 0.037
Dy: 0.750 0.587 0.093
Te: 0.750 0.095 0.076
Dy: 0.750 0.556 0.612
Dy: 0.250 0.913 0.593
Te: 0.250 0.202 0.831
Te: 0.750 0.798 0.169
Te: 0.250 0.129 0.537
Sr: 0.750 0.241 0.671
Dy: 0.750 0.087 0.407
Te: 0.250 0.034 0.285
Te: 0.750 0.466 0.785
Te: 0.250 0.629 0.963
Dy: 0.250 0.944 0.112
Te: 0.750 0.871 0.463
Te: 0.250 0.405 0.576
Sr: 0.750 0.741 0.829
Te: 0.750 0.298 0.331
Te: 0.250 0.702 0.669
Te: 0.250 0.905 0.924
Te: 0.750 0.595 0.424
Te: 0.250 0.534 0.215
Sr: 0.250 0.759 0.329
Dy: 0.250 0.444 0.388
Dy: 0.250 0.413 0.907
Sr: 0.250 0.259 0.171
Dy: 0.750 0.056 0.888
Te: 0.750 0.966 0.715

Summary:
formation energy without anion corrections = -1.499 eV/atom
offset from the most stable computed form = 0.00 eV per formula unit

Record 11
This record from Alexandria via LeMat-Bulk describes an optimized crystal structure of SrDy6Te8. The functional is GGA-PBE.

a = 8.730 Å, b = 8.730 Å, c = 8.730 Å
α = 60.00°, β = 60.00°, γ = 60.00°
Positions (direct):
Te: 0.750 0.750 0.750
Te: 0.264 0.736 0.736
Te: 0.264 0.264 0.736
Dy: 0.500 0.000 0.500
Te: 0.736 0.736 0.264
Sr: 0.000 0.000 0.000
Te: 0.736 0.264 0.264
Dy: 0.500 0.000 0.000
Dy: 0.000 0.500 0.500
Dy: 0.000 0.000 0.500
Te: 0.250 0.250 0.250
Te: 0.736 0.264 0.736
Dy: 0.500 0.500 0.000
Dy: 0.000 0.500 0.000
Te: 0.264 0.736 0.264

Summary:
formation energy without anion corrections = -1.386 eV/atom

Record 12
This record from Alexandria via LeMat-Bulk describes an optimized crystal structure of SrDy3Te6. The functional is GGA-PBE.

a = 4.415 Å, b = 12.656 Å, c = 13.033 Å
α = 109.37°, β = 90.00°, γ = 90.00°
Positions (direct):
Te: 0.750 0.387 0.053
Dy: 0.250 0.557 0.164
Dy: 0.250 0.315 0.502
Sr: 0.750 0.049 0.698
Dy: 0.750 0.155 0.083
Te: 0.750 0.729 0.269
Te: 0.250 0.516 0.383
Te: 0.250 0.208 0.251
Te: 0.750 0.484 0.617
Dy: 0.750 0.443 0.836
Te: 0.750 0.792 0.749
Te: 0.750 0.915 0.091
Te: 0.750 0.128 0.466
Te: 0.250 0.872 0.534
Te: 0.250 0.613 0.947
Dy: 0.250 0.845 0.917
Dy: 0.750 0.685 0.498
Te: 0.250 0.085 0.909
Te: 0.250 0.271 0.731
Sr: 0.250 0.951 0.302

Summary:
formation energy without anion corrections = -1.338 eV/atom

It is found that the raw total energy values, taken in the order of the records, are -0.175 -0.183 -0.171 -0.184 -0.194 -0.163 -0.168 -0.170 -0.176 -0.178 -0.184 -0.175 Ha/atom.